DFT (PBE) results for an optimized crystal structure of BeAgP.

Values from the calculation:
calculated total energy	-3.659	eV per atom
DFT formation energy	0.337	eV per atom

POSCAR file:
```
BeAgP
1.0
6.2753 0.0147 -0.0119
5.4896 2.6938 0.0116
0.7857 -0.5345 2.6254
Be Ag P
1 1 1
Direct
0.3216 0.3216 0.6784
0.9762 0.9762 0.0238
0.7022 0.7022 0.2978
```

DFT (PBE) results for an optimized crystal structure of BeAgP.

Values from the calculation:
calculated total energy	-4.019	eV per atom
DFT formation energy	-0.023	eV per atom

POSCAR file:
```
BeAgP
1.0
6.8540 0.0000 0.0000
0.0000 3.7040 0.0000
0.0000 0.0000 8.0009
P Be Ag
4 4 4
Direct
0.2876 0.2500 0.4183
0.7124 0.7500 0.5817
0.2124 0.7500 0.9183
0.7876 0.2500 0.0817
0.4264 0.7500 0.4599
0.5736 0.2500 0.5401
0.9264 0.7500 0.0401
0.0736 0.2500 0.9599
0.9099 0.2500 0.3786
0.4099 0.2500 0.1214
0.5901 0.7500 0.8786
0.0901 0.7500 0.6214
```

DFT (PBE) results for an optimized crystal structure of BeAgP2.

Values from the calculation:
calculated total energy	-3.932	eV per atom
DFT formation energy	0.417	eV per atom

POSCAR file:
```
BeAgP2
1.0
2.6366 0.0684 0.0000
-0.3572 2.6132 0.0000
0.0000 0.0000 9.5595
Be P Ag
1 2 1
Direct
0.5000 0.5000 0.7456
0.5000 0.5000 0.3071
0.0000 0.0000 0.9004
0.0000 0.0000 0.5469
```